Record 1
Entry from Alexandria: a relaxed structure of YTm3H8 (PBE).

Cell lengths 5.096, 5.096, 5.096 Å; angles 90.00, 90.00, 90.00 degrees
Fractional coordinates of all 12 atoms:
H (0.253, 0.253, 0.253)
H (0.747, 0.253, 0.747)
Y (0.000, 0.000, 0.000)
H (0.253, 0.747, 0.747)
H (0.253, 0.253, 0.747)
Tm (0.500, 0.500, 0.000)
Tm (0.000, 0.500, 0.500)
H (0.747, 0.253, 0.253)
H (0.747, 0.747, 0.253)
H (0.253, 0.747, 0.253)
Tm (0.500, 0.000, 0.500)
H (0.747, 0.747, 0.747)

Values from the calculation:
density of states at the Fermi level	0.21	states/eV per atom
volume	132	Å³ per cell
E_tot	-55.356	eV/f.u.

***

Record 2
Entry from Alexandria: a relaxed structure of YTmH2 (PBE).

Cell lengths 3.464, 3.464, 6.141 Å; angles 73.62, 73.62, 60.00 degrees
Fractional coordinates of all 4 atoms:
Tm (0.671, 0.671, 0.986)
H (0.077, 0.077, 0.768)
Y (0.491, 0.491, 0.527)
H (0.260, 0.260, 0.220)

Values from the calculation:
density of states at the Fermi level	0.40	states/eV per atom
volume	60	Å³ per cell
E_tot	-18.743	eV/f.u.

***

Record 3
Entry from Alexandria: a relaxed structure of Y2TmH8 (PBE).

Cell lengths 3.624, 5.089, 6.268 Å; angles 113.95, 106.80, 90.00 degrees
Fractional coordinates of all 11 atoms:
Y (0.832, 0.332, 0.665)
Tm (0.500, 0.000, 0.000)
H (0.341, 0.584, 0.682)
Y (0.168, 0.668, 0.335)
H (0.000, 0.737, 0.000)
H (0.659, 0.416, 0.318)
H (0.000, 0.263, 0.000)
H (0.841, 0.841, 0.682)
H (0.159, 0.159, 0.318)
H (0.341, 0.099, 0.682)
H (0.659, 0.901, 0.318)

Values from the calculation:
density of states at the Fermi level	0.12	states/eV per atom
volume	100	Å³ per cell
E_tot	-51.054	eV/f.u.

***

Record 4
Entry from Alexandria: a relaxed structure of YTmH2 (PBE).

Cell lengths 3.623, 3.623, 6.198 Å; angles 73.00, 73.00, 60.00 degrees
Fractional coordinates of all 4 atoms:
H (0.875, 0.875, 0.374)
H (0.125, 0.125, 0.626)
Tm (0.000, 0.000, 0.000)
Y (0.500, 0.500, 0.500)

Values from the calculation:
density of states at the Fermi level	0.51	states/eV per atom
volume	66	Å³ per cell
E_tot	-19.707	eV/f.u.

***

Record 5
Entry from Alexandria: a relaxed structure of Tm12Zn3H5 (PBE).

Cell lengths 12.986, 12.986, 12.986 Å; angles 109.47, 109.47, 109.47 degrees
Fractional coordinates of all 80 atoms:
Tm (0.404, 0.291, 0.309)
Tm (0.905, 0.809, 0.517)
Tm (0.096, 0.905, 0.387)
Tm (0.595, 0.613, 0.404)
Tm (0.905, 0.096, 0.887)
Tm (0.517, 0.209, 0.113)
Tm (0.483, 0.791, 0.887)
Tm (0.517, 0.309, 0.905)
H (0.125, 0.750, 0.375)
H (0.000, 0.500, 0.000)
H (0.875, 0.625, 0.750)
Tm (0.209, 0.517, 0.613)
Tm (0.309, 0.517, 0.405)
Tm (0.595, 0.983, 0.691)
Tm (0.387, 0.405, 0.096)
Tm (0.904, 0.095, 0.613)
H (0.000, 0.000, 0.500)
Zn (0.750, 0.875, 0.625)
H (0.000, 0.000, 0.000)
H (0.625, 0.875, 0.250)
Tm (0.483, 0.691, 0.095)
Tm (0.791, 0.483, 0.387)
Tm (0.309, 0.791, 0.404)
H (0.750, 0.625, 0.375)
Zn (0.625, 0.250, 0.375)
Tm (0.596, 0.709, 0.691)
Zn (0.625, 0.375, 0.750)
Tm (0.291, 0.404, 0.809)
Tm (0.017, 0.405, 0.809)
Zn (0.875, 0.750, 0.125)
Tm (0.191, 0.096, 0.709)
Tm (0.291, 0.887, 0.983)
Tm (0.209, 0.691, 0.096)
Tm (0.791, 0.309, 0.904)
Tm (0.613, 0.595, 0.904)
Tm (0.387, 0.983, 0.791)
Tm (0.095, 0.191, 0.483)
Tm (0.113, 0.709, 0.517)
H (0.500, 0.500, 0.500)
H (0.500, 0.000, 0.000)
Zn (0.250, 0.125, 0.375)
Tm (0.904, 0.809, 0.791)
Tm (0.709, 0.113, 0.017)
Tm (0.596, 0.887, 0.405)
Zn (0.125, 0.875, 0.750)
Tm (0.017, 0.613, 0.709)
Tm (0.709, 0.596, 0.191)
Tm (0.404, 0.113, 0.595)
Tm (0.405, 0.387, 0.596)
Tm (0.809, 0.904, 0.291)
Tm (0.887, 0.291, 0.483)
Tm (0.095, 0.904, 0.113)
Zn (0.250, 0.625, 0.875)
Tm (0.809, 0.905, 0.017)
Zn (0.750, 0.375, 0.125)
H (0.250, 0.875, 0.125)
H (0.875, 0.250, 0.625)
H (0.750, 0.125, 0.875)
H (0.375, 0.250, 0.125)
Tm (0.113, 0.404, 0.095)
H (0.000, 0.500, 0.500)
Tm (0.405, 0.017, 0.309)
H (0.500, 0.000, 0.500)
H (0.500, 0.500, 0.000)
Tm (0.691, 0.209, 0.596)
Tm (0.887, 0.596, 0.905)
H (0.375, 0.125, 0.750)
Tm (0.096, 0.191, 0.209)
Tm (0.613, 0.017, 0.209)
Tm (0.191, 0.095, 0.983)
Tm (0.691, 0.483, 0.595)
Zn (0.375, 0.625, 0.250)
Zn (0.125, 0.250, 0.875)
Zn (0.875, 0.125, 0.250)
Tm (0.983, 0.595, 0.191)
Tm (0.983, 0.387, 0.291)
H (0.625, 0.750, 0.875)
H (0.125, 0.375, 0.250)
Zn (0.375, 0.750, 0.625)
H (0.250, 0.375, 0.625)

Values from the calculation:
density of states at the Fermi level	0.81	states/eV per atom
volume	1686	Å³ per cell
E_tot	-78.825	eV/f.u.

***

Record 6
Entry from Alexandria: a relaxed structure of TmZnH (PBE).

Cell lengths 3.142, 3.142, 5.631 Å; angles 106.20, 106.20, 90.00 degrees
Each line ends with the local moment (μB).
Fractional coordinates of all 3 atoms:
H (0.269, 0.269, 0.537)  0.00
Zn (0.014, 0.014, 0.028)  0.02
Tm (0.718, 0.718, 0.435)  0.38

Values from the calculation:
density of states at the Fermi level	0.71	states/eV per atom
volume	51	Å³ per cell
E_tot	-9.096	eV/f.u.